Entry from the Alexandria database: crystalline SrCa2Sc2 at its relaxed geometry (PBE-GGA).

Unit cell a=9.8125 b=9.8125 c=3.7682 alpha=90.00 beta=90.00 gamma=90.00
Site moments in Bohr magnetons follow the coordinates.
Sites, in units of the cell vectors:
Sc 0.3895 0.8895 0.0000  0.44
Sc 0.6105 0.1105 0.0000  0.44
Sc 0.1105 0.3895 0.0000  0.41
Sc 0.8895 0.6105 0.0000  0.41
Sr 0.0000 0.0000 0.0000  0.04
Sr 0.5000 0.5000 0.0000  0.04
Ca 0.3230 0.1770 0.5000  0.06
Ca 0.8230 0.3230 0.5000  0.06
Ca 0.6770 0.8230 0.5000  0.06
Ca 0.1770 0.6770 0.5000  0.06

Properties
energy relative to the lowest polymorph listed for this composition	0.0	meV/atom
E	-3.41	eV/atom
mass density	2.4	g/cm³
formation energy	0.26	eV per atom
size of the total moment	4.29	μB/cell
volume	181.4	Å³/f.u.
symmetry	P4/mbm (127)